Computed, not measured: crystalline ZnAsRh3 at its relaxed geometry at the GGA-PBEsol level of DFT.

Offset from the most stable computed form, meV/atom: 0
Calculated total energy, eV per cell: -28.9
M_tot, Bohr magnetons per cell: 0.00
D(E_F), states/eV/f.u.: 1.89
Formation enthalpy at 0 K, eV/f.u.: 2.2

Cell: 4.440 4.440 4.440 Å, 90.00 90.00 90.00°
Positions (direct):
Zn 0.000 0.000 0.000
As 0.500 0.500 0.500
Rh 0.000 0.500 0.500
Rh 0.500 0.000 0.500
Rh 0.500 0.500 0.000